The following is a PBE-GGA calculation of a relaxed structure of K8Zr6BBr20, from OQMD.

a b c (Å): 11.7120 11.7120 11.7120
angles (deg): 60.00 60.00 60.00
Closest atoms and distances in Å follow each position.
Atoms (fractional coordinates):
1 K 0.1395 0.1395 0.1395  4 Br 3.17-3.35
2 K 0.1395 0.1395 0.5816  4 Br 3.17-3.35
3 K 0.1395 0.5816 0.1395  4 Br 3.17-3.35
4 K 0.4184 0.8605 0.8605  4 Br 3.17-3.35
5 K 0.5816 0.1395 0.1395  4 Br 3.17-3.35
6 K 0.8605 0.4184 0.8605  4 Br 3.17-3.35
7 K 0.8605 0.8605 0.4184  4 Br 3.17-3.35
8 K 0.8605 0.8605 0.8605  4 Br 3.17-3.35
9 Zr 0.3593 0.3593 0.6407  1 B 2.33
10 Zr 0.3593 0.6407 0.3593  1 B 2.33
11 Zr 0.3593 0.6407 0.6407  1 B 2.33
12 Zr 0.6407 0.3593 0.3593  1 B 2.33
13 Zr 0.6407 0.3593 0.6407  1 B 2.33
14 Zr 0.6407 0.6407 0.3593  1 B 2.33
15 B 0.5000 0.5000 0.5000  6 Zr 2.33
16 Br 0.1715 0.5000 0.5000  2 Zr 2.75
17 Br 0.1715 0.5000 0.8285  2 Zr 2.75
18 Br 0.1715 0.8285 0.5000  2 Zr 2.75
19 Br 0.1832 0.1832 0.8168  1 Zr 2.92
20 Br 0.1832 0.8168 0.1832  1 Zr 2.92
21 Br 0.1832 0.8168 0.8168  1 Zr 2.92
22 Br 0.2500 0.2500 0.2500  4 K 3.17
23 Br 0.5000 0.1715 0.5000  2 Zr 2.75
24 Br 0.5000 0.1715 0.8285  2 Zr 2.75
25 Br 0.5000 0.5000 0.1715  2 Zr 2.75
26 Br 0.5000 0.5000 0.8285  2 Zr 2.75
27 Br 0.5000 0.8285 0.1715  2 Zr 2.75
28 Br 0.5000 0.8285 0.5000  2 Zr 2.75
29 Br 0.7500 0.7500 0.7500  4 K 3.17
30 Br 0.8168 0.1832 0.1832  1 Zr 2.92
31 Br 0.8168 0.1832 0.8168  1 Zr 2.92
32 Br 0.8168 0.8168 0.1832  1 Zr 2.92
33 Br 0.8285 0.1715 0.5000  2 Zr 2.75
34 Br 0.8285 0.5000 0.1715  2 Zr 2.75
35 Br 0.8285 0.5000 0.5000  2 Zr 2.75

Values from the calculation:
Energy, eV per atom: -4.419